# 1
# CsBeNb GGA-PBE relaxed
data_CsBeNb
_chemical_formula_sum 'Cs2 Be2 Nb2'
_space_group_name_H-M_alt 'P 63/m m c'
_space_group_IT_number 194
_space_group_name_Hall '-P 6c 2c'
_cell_length_a 6.1888
_cell_length_b 6.1888
_cell_length_c 10.0175
_cell_angle_alpha 90.00
_cell_angle_beta 90.00
_cell_angle_gamma 120.00
loop_
_atom_site_label
_atom_site_type_symbol
_atom_site_fract_x
_atom_site_fract_y
_atom_site_fract_z
Cs1 Cs 0.3333 0.6667 0.2500
Be1 Be 0.0000 0.0000 0.2500
Nb1 Nb 0.0000 0.0000 0.0000
# E_tot = -16.807 eV per cell
# Energy of formation = 2.082 eV per atom
# N(E_F) = 3.26 states/eV/cell
# Energy above the most stable polymorph in this dataset = 1677 meV/atom
# Total moment = 10.52 Bohr magnetons per cell


# 2
# CsBeNb GGA-PBE relaxed
data_CsBeNb
_chemical_formula_sum 'Cs2 Be2 Nb2'
_space_group_name_H-M_alt 'P 4/n m m'
_space_group_IT_number 129
_cell_length_a 4.518
_cell_length_b 4.518
_cell_length_c 10.388
_cell_angle_alpha 90.00
_cell_angle_beta 90.00
_cell_angle_gamma 90.00
loop_
_space_group_symop_operation_xyz
'x,y,z'
'-x,-y,-z'
'-y+1/2,x,z'
'y+1/2,-x,-z'
'-x+1/2,-y+1/2,z'
'x+1/2,y+1/2,-z'
'y,-x+1/2,z'
'-y,x+1/2,-z'
'x+1/2,-y,-z'
'-x+1/2,y,z'
'-y,-x,-z'
'y,x,z'
'-x,y+1/2,-z'
'x,-y+1/2,z'
'y+1/2,x+1/2,-z'
'-y+1/2,-x+1/2,z'
loop_
_atom_site_label
_atom_site_type_symbol
_atom_site_fract_x
_atom_site_fract_y
_atom_site_fract_z
Cs1 Cs 0.250 0.250 0.201
Be1 Be 0.250 0.750 0.500
Nb1 Nb 0.250 0.250 0.566
# E_tot = -23.868 eV per cell
# Energy of formation = 0.905 eV per atom
# N(E_F) = 3.98 states/eV/cell
# Energy above the most stable polymorph in this dataset = 501 meV/atom
# Total moment = 1.82 Bohr magnetons per cell


# 3
# CsBeNb GGA-PBE relaxed
data_CsBeNb
_chemical_formula_sum 'Cs2 Be2 Nb2'
_space_group_name_H-M_alt 'P 1'
_space_group_IT_number 1
_cell_length_a 3.590
_cell_length_b 3.767
_cell_length_c 13.271
_cell_angle_alpha 97.31
_cell_angle_beta 97.35
_cell_angle_gamma 90.02
loop_
_space_group_symop_operation_xyz
'x,y,z'
loop_
_atom_site_label
_atom_site_type_symbol
_atom_site_fract_x
_atom_site_fract_y
_atom_site_fract_z
Cs1 Cs 0.000 0.000 0.000
Cs2 Cs 0.204 0.307 0.631
Be1 Be 0.379 0.683 0.372
Be2 Be 0.824 0.632 0.259
Nb1 Nb 0.318 0.124 0.241
Nb2 Nb 0.885 0.191 0.391
# E_tot = -26.716 eV per cell
# Energy of formation = 0.431 eV per atom
# N(E_F) = 3.59 states/eV/cell
# Energy above the most stable polymorph in this dataset = 26 meV/atom
# Total moment = 0.00 Bohr magnetons per cell


# 4
# CsBe4Nb3O12 GGA-PBE relaxed
data_CsBe4Nb3O12
_chemical_formula_sum 'Cs3 Be12 Nb9 O36'
_space_group_name_H-M_alt 'R 3 2'
_space_group_IT_number 155
_space_group_name_Hall 'R 3 2"'
_cell_length_a 10.3068
_cell_length_b 10.3068
_cell_length_c 8.1137
_cell_angle_alpha 90.00
_cell_angle_beta 90.00
_cell_angle_gamma 120.00
loop_
_atom_site_label
_atom_site_type_symbol
_atom_site_fract_x
_atom_site_fract_y
_atom_site_fract_z
Cs1 Cs 0.0000 0.0000 0.0000
Be1 Be 0.0000 0.0000 0.5000
Be2 Be 0.0000 0.4474 0.5000
Nb1 Nb 0.0000 0.5497 0.0000
O1 O 0.0000 0.5969 0.5000
O2 O 0.0000 0.8460 0.5000
O3 O 0.0366 0.2296 0.2151
# E_tot = -464.917 eV per cell
# N(E_F) = 0.00 states/eV/cell
# Formation energy without anion corrections = -2.475 eV/atom
# Total moment = 0.00 Bohr magnetons per cell


# 5
# CsNd2Be2O6 GGA-PBE relaxed
data_CsNd2Be2O6
_chemical_formula_sum 'Cs2 Nd4 Be4 O12'
_space_group_name_H-M_alt 'C 1 2/m 1'
_space_group_IT_number 12
_cell_length_a 11.056
_cell_length_b 6.346
_cell_length_c 6.410
_cell_angle_alpha 90.00
_cell_angle_beta 119.47
_cell_angle_gamma 90.00
loop_
_space_group_symop_operation_xyz
'x,y,z'
'-x,-y,-z'
'-x,y,-z'
'x,-y,z'
'x+1/2,y+1/2,z'
'-x+1/2,-y+1/2,-z'
'-x+1/2,y+1/2,-z'
'x+1/2,-y+1/2,z'
loop_
_atom_site_label
_atom_site_type_symbol
_atom_site_fract_x
_atom_site_fract_y
_atom_site_fract_z
Cs1 Cs 0.000 0.000 0.000
Nd1 Nd 0.176 0.500 0.302
Be1 Be 0.148 0.500 0.735
O1 O 0.068 0.500 0.872
O2 O 0.197 0.301 0.655
# E_tot = -150.660 eV per cell
# N(E_F) = 11.11 states/eV/cell
# Formation energy without anion corrections = -2.522 eV/atom
# Total moment = 2.10 Bohr magnetons per cell


# 6
# CsNdBeS3 GGA-PBE relaxed
data_CsNdBeS3
_chemical_formula_sum 'Cs2 Nd2 Be2 S6'
_space_group_name_H-M_alt 'P 1 21/m 1'
_space_group_IT_number 11
_cell_length_a 9.559
_cell_length_b 4.024
_cell_length_c 9.721
_cell_angle_alpha 90.00
_cell_angle_beta 110.58
_cell_angle_gamma 90.00
loop_
_space_group_symop_operation_xyz
'x,y,z'
'-x,-y,-z'
'-x,y+1/2,-z'
'x,-y+1/2,z'
loop_
_atom_site_label
_atom_site_type_symbol
_atom_site_fract_x
_atom_site_fract_y
_atom_site_fract_z
Cs1 Cs 0.238 0.250 0.203
Nd1 Nd 0.154 0.250 0.667
Be1 Be 0.395 0.750 0.928
S1 S 0.159 0.750 0.466
S2 S 0.167 0.750 0.877
S3 S 0.468 0.250 0.850
# E_tot = -61.656 eV per cell
# N(E_F) = 0.00 states/eV/cell
# Formation energy without anion corrections = -1.516 eV/atom
# Total moment = 0.00 Bohr magnetons per cell


# 7
# CsNdBeTe3 GGA-PBE relaxed
data_CsNdBeTe3
_chemical_formula_sum 'Cs4 Nd4 Be4 Te12'
_space_group_name_H-M_alt 'C 1 2/m 1'
_space_group_IT_number 12
_cell_length_a 17.008
_cell_length_b 5.344
_cell_length_c 10.029
_cell_angle_alpha 90.00
_cell_angle_beta 102.94
_cell_angle_gamma 90.00
loop_
_space_group_symop_operation_xyz
'x,y,z'
'-x,-y,-z'
'-x,y,-z'
'x,-y,z'
'x+1/2,y+1/2,z'
'-x+1/2,-y+1/2,-z'
'-x+1/2,y+1/2,-z'
'x+1/2,-y+1/2,z'
loop_
_atom_site_label
_atom_site_type_symbol
_atom_site_fract_x
_atom_site_fract_y
_atom_site_fract_z
Cs1 Cs 0.145 0.000 0.054
Nd1 Nd 0.146 0.000 0.561
Be1 Be 0.009 0.500 0.299
Te1 Te 0.005 0.000 0.299
Te2 Te 0.140 0.500 0.753
Te3 Te 0.162 0.500 0.355
# E_tot = -94.203 eV per cell
# Formation energy without anion corrections = -0.796 eV/atom
# Total moment = 0.00 Bohr magnetons per cell


# 8
# Cs2BeNi GGA-PBE relaxed
data_Cs2BeNi
_chemical_formula_sum 'Cs8 Be4 Ni4'
_space_group_name_H-M_alt 'F m -3 m'
_space_group_IT_number 225
_space_group_name_Hall '-F 4 2 3'
_cell_length_a 8.495
_cell_length_b 8.495
_cell_length_c 8.495
_cell_angle_alpha 90.00
_cell_angle_beta 90.00
_cell_angle_gamma 90.00
loop_
_atom_site_label
_atom_site_type_symbol
_atom_site_fract_x
_atom_site_fract_y
_atom_site_fract_z
Cs1 Cs 0.250 0.250 0.250
Be1 Be 0.000 0.000 0.000
Ni1 Ni 0.000 0.000 0.500
# E_tot = -26.461 eV per cell
# Energy of formation = 1.150 eV per atom
# N(E_F) = 48.58 states/eV/cell
# Energy above the most stable polymorph in this dataset = 506 meV/atom
# Total moment = 0.34 Bohr magnetons per cell


# 9
# CsBeNi3 GGA-PBE relaxed
data_CsBeNi3
_chemical_formula_sum 'Cs1 Be1 Ni3'
_space_group_name_H-M_alt 'P m -3 m'
_space_group_IT_number 221
_space_group_name_Hall '-P 4 2 3'
_cell_length_a 4.303
_cell_length_b 4.303
_cell_length_c 4.303
_cell_angle_alpha 90.00
_cell_angle_beta 90.00
_cell_angle_gamma 90.00
loop_
_atom_site_label
_atom_site_type_symbol
_atom_site_fract_x
_atom_site_fract_y
_atom_site_fract_z
Cs1 Cs 0.000 0.000 0.000
Be1 Be 0.500 0.500 0.500
Ni1 Ni 0.000 0.500 0.500
# E_tot = -18.015 eV per cell
# Energy of formation = 0.782 eV per atom
# N(E_F) = 1.85 states/eV/cell
# Energy above the most stable polymorph in this dataset = 0 meV/atom
# Total moment = 0.00 Bohr magnetons per cell


# 10
# CsBeNi3 GGA-PBE relaxed
data_CsBeNi3
_chemical_formula_sum 'Cs1 Be1 Ni3'
_space_group_name_H-M_alt 'P m -3 m'
_space_group_IT_number 221
_space_group_name_Hall '-P 4 2 3'
_cell_length_a 4.796
_cell_length_b 4.796
_cell_length_c 4.796
_cell_angle_alpha 90.00
_cell_angle_beta 90.00
_cell_angle_gamma 90.00
loop_
_atom_site_label
_atom_site_type_symbol
_atom_site_fract_x
_atom_site_fract_y
_atom_site_fract_z
Cs1 Cs 0.000 0.000 0.000
Be1 Be 0.500 0.500 0.500
Ni1 Ni 0.000 0.000 0.500
# E_tot = -9.953 eV per cell
# Energy of formation = 2.394 eV per atom
# N(E_F) = 6.85 states/eV/cell
# Energy above the most stable polymorph in this dataset = 1612 meV/atom
# Total moment = 0.00 Bohr magnetons per cell


# 11
# Cs2BeNi GGA-PBE relaxed
data_Cs2BeNi
_chemical_formula_sum 'Cs8 Be4 Ni4'
_space_group_name_H-M_alt 'I -4 2 d'
_space_group_IT_number 122
_space_group_name_Hall 'I -4 2bw'
_cell_length_a 11.392
_cell_length_b 11.392
_cell_length_c 4.360
_cell_angle_alpha 90.00
_cell_angle_beta 90.00
_cell_angle_gamma 90.00
loop_
_atom_site_label
_atom_site_type_symbol
_atom_site_fract_x
_atom_site_fract_y
_atom_site_fract_z
Cs1 Cs 0.099 0.250 0.125
Be1 Be 0.000 0.000 0.500
Ni1 Ni 0.000 0.000 0.000
# E_tot = -34.556 eV per cell
# Energy of formation = 0.644 eV per atom
# N(E_F) = 1.81 states/eV/cell
# Energy above the most stable polymorph in this dataset = 0 meV/atom
# Total moment = 0.00 Bohr magnetons per cell


# 12
# CsScBe2Ni GGA-PBE relaxed
data_CsScBe2Ni
_chemical_formula_sum 'Cs1 Sc1 Be2 Ni1'
_space_group_name_H-M_alt 'P 4/m m m'
_space_group_IT_number 123
_space_group_name_Hall '-P 4 2'
_cell_length_a 5.008
_cell_length_b 5.008
_cell_length_c 4.777
_cell_angle_alpha 90.00
_cell_angle_beta 90.00
_cell_angle_gamma 90.00
loop_
_atom_site_label
_atom_site_type_symbol
_atom_site_fract_x
_atom_site_fract_y
_atom_site_fract_z
Cs1 Cs 0.000 0.000 0.000
Sc1 Sc 0.500 0.500 0.500
Be1 Be 0.000 0.500 0.000
Ni1 Ni 0.000 0.000 0.500
# E_tot = -10.171 eV per cell
# Energy of formation = 2.050 eV per atom
# N(E_F) = 3.51 states/eV/cell
# Total moment = 0.00 Bohr magnetons per cell